Entry 1:
16
Lattice="7.4654 0.0000 0.0000 0.0000 7.4654 0.0000 0.0000 0.0000 7.4654" Properties=species:S:1:pos:R:3 comment="TbGdScTi | Alexandria via LeMat-Bulk | PBE | relaxed" energy_ev_per_fu=-32.1 magnetic_moment_mub_per_cell=36.18 ef_ev_per_atom=0.21 pbc="T T T"
Tb 0.0000 0.0000 0.0000
Tb 0.0000 3.7327 3.7327
Tb 3.7327 0.0000 3.7327
Tb 3.7327 3.7327 0.0000
Gd 0.0000 0.0000 3.7327
Gd 0.0000 3.7327 0.0000
Gd 3.7327 0.0000 0.0000
Gd 3.7327 3.7327 3.7327
Sc 1.8664 1.8664 1.8664
Sc 1.8664 5.5991 5.5991
Sc 5.5991 1.8664 5.5991
Sc 5.5991 5.5991 1.8664
Ti 1.8664 1.8664 5.5991
Ti 1.8664 5.5991 1.8664
Ti 5.5991 1.8664 1.8664
Ti 5.5991 5.5991 5.5991

=====

Entry 2:
20
Lattice="9.7762 0.0000 0.0000 0.0000 9.7762 0.0000 0.0000 0.0000 4.4287" Properties=species:S:1:pos:R:3 comment="Li2Cd5In2Ag | Alexandria via LeMat-Bulk | PBE | relaxed" energy_ev_per_fu=-17.5 magnetic_moment_mub_per_cell=0.00 ef_ev_per_atom=-0.07 pbc="T T T"
Li 1.1707 3.7173 0.0000
Li 3.7173 8.6054 0.0000
Li 6.0588 1.1707 0.0000
Li 8.6054 6.0588 0.0000
Cd 0.0000 4.8881 2.2144
Cd 0.8071 1.9364 2.2144
Cd 1.9364 8.9691 2.2144
Cd 2.9517 4.0810 2.2144
Cd 4.0810 6.8245 2.2144
Cd 4.8881 0.0000 2.2144
Cd 5.6952 2.9517 2.2144
Cd 6.8245 5.6952 2.2144
Cd 7.8398 0.8071 2.2144
Cd 8.9691 7.8398 2.2144
In 1.6943 6.5824 0.0000
In 3.1938 1.6943 0.0000
In 6.5824 8.0819 0.0000
In 8.0819 3.1938 0.0000
Ag 0.0000 0.0000 0.0000
Ag 4.8881 4.8881 0.0000